(1)
## CaTi3Co (PBE-GGA)

Data for a relaxed CaTi3Co crystal.

POSCAR file:
```
CaTi3Co
1.0
4.475 0.000 0.000
0.000 4.475 0.000
0.000 0.000 4.475
Ca Ti Co
1 3 1
Cartesian
0.000 0.000 0.000 Ca
0.000 0.000 2.237 Ti
0.000 2.237 0.000 Ti
2.237 0.000 0.000 Ti
2.237 2.237 2.237 Co
```

Values from the calculation:
Energy relative to the elements (meV/atom): 1991
D(E_F) (states/eV/atom): 2.506

---

(2)
## Ce2TeS (PBE-GGA)

Data for a relaxed Ce2TeS crystal.

POSCAR file:
```
Ce2TeS
1.0
4.165 0.000 0.000
-2.082 3.607 0.000
0.000 0.000 14.554
Ce Te S
4 2 2
Cartesian
0.000 2.405 1.506 Ce
0.000 2.405 5.771 Ce
2.082 1.202 8.784 Ce
2.082 1.202 13.048 Ce
0.000 2.405 10.916 Te
2.082 1.202 3.639 Te
0.000 0.000 0.000 S
0.000 0.000 7.277 S
```

Values from the calculation:
D(E_F) (states/eV/atom): 2.972
Raw formation energy (eV per atom): -1.676

---

Number 1: polymorph energy (0 for the lowest one) 1.7337 eV/atom. Number 2: polymorph energy (0 for the lowest one) 0.0112 eV/atom.